1.
DFT (PBE) results for Y2AgHg after structural relaxation.

Cell: 3.673 5.031 10.888 Å, 90.00 90.00 90.00°
Space group Imm2 (No. 44)
Unique sites:
Y: 0.000 0.000 0.000 x2
Y: 0.000 0.500 0.223 x2
Ag: 0.000 0.500 0.744 x2
Hg: 0.000 0.000 0.460 x2

Total energy in eV/atom: -4.30
Formation enthalpy at 0 K in eV/atom: -0.278
Total magnetic moment in μB/atom: 0.00


2.
DFT (PBE) results for YAg3Hg2 after structural relaxation.

Cell: 6.935 8.009 9.645 Å, 90.00 108.20 90.00°
Space group C2/c (No. 15)
Unique sites:
Y: 0.000 0.145 0.250 x4
Ag: 0.000 0.419 0.750 x4
Ag: 0.183 0.389 0.070 x8
Hg: 0.137 0.144 0.593 x8

Total energy in eV/atom: -2.77
Formation enthalpy at 0 K in eV/atom: -0.163
Total magnetic moment in μB/atom: 0.00


3.
DFT (PBE) results for Y3AgHg after structural relaxation.

Cell: 5.203 19.789 5.199 Å, 90.00 90.00 90.00°
Space group Cmcm (No. 63)
Unique sites:
Y: 0.000 0.064 0.250 x4
Y: 0.000 0.250 0.250 x4
Y: 0.000 0.435 0.250 x4
Ag: 0.000 0.342 0.750 x4
Hg: 0.000 0.156 0.750 x4

Total energy in eV/atom: -4.83
Formation enthalpy at 0 K in eV/atom: -0.319
Total magnetic moment in μB/atom: 0.14
Excess energy over the best structure of this formula in the dataset in eV per atom: 0.000


4.
DFT (PBE) results for Y2AgHg3 after structural relaxation.

Cell: 6.889 9.777 16.996 Å, 90.00 90.00 90.00°
Space group Fmmm (No. 69)
Unique sites:
Y: 0.249 0.000 0.000 x8
Y: 0.250 0.250 0.250 x8
Ag: 0.000 0.000 0.167 x8
Hg: 0.000 0.000 0.331 x8
Hg: 0.000 0.246 0.084 x16

Total energy in eV/atom: -3.17
Formation enthalpy at 0 K in eV/atom: -0.388
Total magnetic moment in μB/atom: 0.00


5.
DFT (PBE) results for Y2Ag3Hg2 after structural relaxation.

Cell: 10.243 3.932 7.860 Å, 90.00 94.12 90.00°
Space group C2/m (No. 12)
Unique sites:
Y: 0.088 0.000 0.226 x4
Ag: 0.000 0.500 0.500 x2
Ag: 0.198 0.000 0.617 x4
Hg: 0.136 0.500 0.906 x4

Total energy in eV/atom: -3.41
Formation enthalpy at 0 K in eV/atom: -0.258
Total magnetic moment in μB/atom: 0.00


6.
DFT (PBE) results for Y3Ag2Hg after structural relaxation.

Cell: 5.1996 5.1996 12.6958 Å, 90.00 90.00 120.00°
Space group P-3m1 (No. 164)
Unique sites:
Y: 0.0000 0.0000 0.2475 x2
Y: 0.3333 0.6667 0.4167 x2
Y: 0.3333 0.6667 0.9189 x2
Ag: 0.0000 0.0000 0.0000 x1
Ag: 0.0000 0.0000 0.5000 x1
Ag: 0.3333 0.6667 0.1667 x2
Hg: 0.3333 0.6667 0.6683 x2

Total energy in eV/atom: -4.62
Formation enthalpy at 0 K in eV/atom: -0.392
Total magnetic moment in μB/atom: 0.00


Q: What is the formula in the second record?
A: YAg3Hg2


Q: Which value of total energy does entry 1 give?
A: -4.30 eV/atom